Record 1
! PBE CrPtRh2, relaxed; values from VASP
! E_tot in eV/atom: -7.499
! ρ in g/cm³: 12.8
! Space-group type: No. 10
! E_form in meV per atom: 93
&SYSTEM
  ibrav = 0, nat = 4, ntyp = 3
/
ATOMIC_SPECIES
Cr 52.00 Cr.upf
Pt 195.08 Pt.upf
Rh 102.91 Rh.upf
CELL_PARAMETERS angstrom
2.7363 0.0000 0.0000
0.0000 4.6122 0.0000
-0.0827 0.0000 4.6640
ATOMIC_POSITIONS angstrom
Cr 0.0000 0.0000 0.0000
Pt 1.3268 0.0000 2.3320
Rh 0.6095 2.3061 3.5208
Rh 2.0441 2.3061 1.1432

Record 2
! PBE Cr4PtRh, relaxed; values from VASP
! E_tot in eV/atom: -8.708
! ρ in g/cm³: 11.1
! Space-group type: No. 216
! E_form in meV per atom: -61
&SYSTEM
  ibrav = 0, nat = 6, ntyp = 3
/
ATOMIC_SPECIES
Cr 52.00 Cr.upf
Pt 195.08 Pt.upf
Rh 102.91 Rh.upf
CELL_PARAMETERS angstrom
0.0000 3.3608 3.3608
3.3608 0.0000 3.3608
3.3608 3.3608 0.0000
ATOMIC_POSITIONS angstrom
Cr 0.8434 0.8434 0.8434
Cr 2.5175 2.5175 0.8434
Cr 2.5175 0.8434 2.5175
Cr 0.8434 2.5175 2.5175
Pt 3.3608 3.3608 3.3608
Rh 5.0412 5.0412 5.0412

Record 3
! PBE CrPt2Rh, relaxed; values from VASP
! E_tot in eV/atom: -7.356
! ρ in g/cm³: 15.4
! Space-group type: No. 12
! E_form in meV per atom: -92
&SYSTEM
  ibrav = 0, nat = 8, ntyp = 3
/
ATOMIC_SPECIES
Cr 52.00 Cr.upf
Pt 195.08 Pt.upf
Rh 102.91 Rh.upf
CELL_PARAMETERS angstrom
9.0943 0.0000 0.0000
0.0000 2.8083 0.0000
-0.9085 0.0000 4.6161
ATOMIC_POSITIONS angstrom
Cr 0.0000 0.0000 0.0000
Cr 4.5472 1.4041 0.0000
Pt 2.0062 1.4041 1.1370
Pt 1.6325 0.0000 3.4790
Pt 6.5533 0.0000 1.1370
Pt 6.1797 1.4041 3.4790
Rh -0.4542 1.4041 2.3080
Rh 4.0929 0.0000 2.3080

Record 4
! PBE CrPt2Rh, relaxed; values from VASP
! E_tot in eV/atom: -7.454
! ρ in g/cm³: 15.5
! Space-group type: No. 139
! E_form in meV per atom: -190
&SYSTEM
  ibrav = 0, nat = 8, ntyp = 3
/
ATOMIC_SPECIES
Cr 52.00 Cr.upf
Pt 195.08 Pt.upf
Rh 102.91 Rh.upf
CELL_PARAMETERS angstrom
3.8665 0.0000 0.0000
0.0000 3.8665 0.0000
0.0000 0.0000 7.7876
ATOMIC_POSITIONS angstrom
Cr 0.0000 0.0000 0.0000
Cr 1.9333 1.9333 3.8938
Pt 0.0000 1.9333 1.9469
Pt 0.0000 1.9333 5.8407
Pt 1.9333 0.0000 1.9469
Pt 1.9333 0.0000 5.8407
Rh 0.0000 0.0000 3.8938
Rh 1.9333 1.9333 0.0000